Computed, not measured: a relaxed structure of CdHPt3 at the GGA-PBE level of DFT.

Computed properties:
Space group: Pnma, No. 62

a = 5.079 Å, b = 7.382 Å, c = 8.292 Å
α = 90.00°, β = 90.00°, γ = 90.00°
Fractional coordinates of all 20 atoms:
Cd: 0.000 0.000 0.000
Cd: 0.000 0.500 0.000
Cd: 0.500 0.000 0.500
Cd: 0.500 0.500 0.500
H: 0.055 0.250 0.451
H: 0.445 0.750 0.951
H: 0.555 0.250 0.049
H: 0.945 0.750 0.549
Pt: 0.003 0.562 0.667
Pt: 0.003 0.938 0.667
Pt: 0.231 0.250 0.772
Pt: 0.269 0.750 0.272
Pt: 0.497 0.062 0.167
Pt: 0.497 0.438 0.167
Pt: 0.503 0.562 0.833
Pt: 0.503 0.938 0.833
Pt: 0.731 0.250 0.728
Pt: 0.769 0.750 0.228
Pt: 0.997 0.062 0.333
Pt: 0.997 0.438 0.333

Computed, not measured: a relaxed structure of CdHPt3 at the GGA-PBE level of DFT.

Computed properties:
Space group: R3m, No. 160

a = 4.117 Å, b = 4.117 Å, c = 4.117 Å
α = 90.46°, β = 90.46°, γ = 90.46°
Fractional coordinates of all 5 atoms:
Cd: 0.000 0.000 0.000
H: 0.391 0.391 0.391
Pt: 0.502 0.502 0.984
Pt: 0.502 0.984 0.502
Pt: 0.984 0.502 0.502

Computed, not measured: a relaxed structure of CdHPt3 at the GGA-PBE level of DFT.

Computed properties:
Space group: Fd-3m, No. 227

a = 7.600 Å, b = 7.600 Å, c = 7.600 Å
α = 60.00°, β = 60.00°, γ = 60.00°
Fractional coordinates of all 20 atoms:
Cd: 0.000 0.000 0.000
Cd: 0.000 0.000 0.500
Cd: 0.000 0.500 0.000
Cd: 0.500 0.000 0.000
H: 0.000 0.500 0.500
H: 0.500 0.000 0.500
H: 0.500 0.500 0.000
H: 0.500 0.500 0.500
Pt: 0.186 0.186 0.564
Pt: 0.186 0.564 0.186
Pt: 0.186 0.564 0.564
Pt: 0.436 0.436 0.814
Pt: 0.436 0.814 0.436
Pt: 0.436 0.814 0.814
Pt: 0.564 0.186 0.186
Pt: 0.564 0.186 0.564
Pt: 0.564 0.564 0.186
Pt: 0.814 0.436 0.436
Pt: 0.814 0.436 0.814
Pt: 0.814 0.814 0.436

no.,spin magnetization (μB/cell),Fermi-level density of states (states/eV per cell),uncorrected energy (eV/atom)
1,0.0,10.50,-4.503
2,0.0,4.14,-4.620
3,0.0,3.57,-4.512